Below is crystalline Ca3GaAg3 at its relaxed geometry, with properties calculated at the GGA-PBE level.

Values from the calculation:
Energy above the most stable polymorph in this dataset, eV per atom: 0.1248
Calculated density, g cm⁻³: 4.96
VASP energy, eV/atom: -2.731
Spin magnetization, μB per formula unit: 0.000
Energy of formation from the pure elements, meV per atom: -219

Lattice parameters (Å, degrees): 8.8096 8.8096 5.1149 90.00 90.00 120.00
Closest atoms and distances in Å follow each position.
Space group P6_3/m (No. 176)
Unique sites:
Ca (0.0913, 0.6532, 0.2500) x6  4 Ag 3.04-3.14, 3 Ga 3.29-3.38
Ga (0.3333, 0.6667, 0.7500) x2  9 Ca 3.29-3.38, 3 Ag 3.51
Ag (0.0455, 0.8330, 0.7500) x6  6 Ag 2.96-3.07, 4 Ca 3.04-3.14